Entry 1:
First-principles (GGA-PBEsol) data for a geometry-optimized K3PO3F2 structure, as listed in the Alexandria database.

Computed properties:
Uncorrected formation energy in eV/atom: -2.480
N(E_F) in states/eV per atom: 0.00
VASP energy in eV per atom: -5.68

Structure (POSCAR):
```
K3PO3F2
1.0
-0.7033 -3.3823 6.3454
-5.0292 -1.4900 -5.3202
0.2476 -6.4985 -3.1474
K P O F
6 2 6 4
Cartesian
0.0701 -5.9167 -1.3752
-0.5332 -3.9399 4.6468
-0.1301 -3.0439 0.8869
-0.3078 -6.8952 2.1334
-2.6310 -3.2070 -1.8359
-2.8588 -8.1474 -0.2369
-3.0283 -4.9347 1.2176
-2.4388 -6.4942 -3.5169
-3.4107 -6.8116 -4.6360
-3.8003 -3.6826 0.8497
-3.9116 -6.0958 1.6307
-1.8546 -5.2786 0.3222
-1.6884 -7.6755 -2.9335
-1.5771 -5.2623 -3.7145
-0.3510 -1.8343 3.1492
-0.5675 -6.5298 4.6689
-3.4761 -6.0481 -2.2863
-2.2565 -4.5109 2.6368
```

Entry 2:
First-principles (GGA-PBEsol) data for a geometry-optimized BaGaSb2Pb structure, as listed in the Alexandria database.

Computed properties:
Uncorrected formation energy in eV/atom: 0.066
N(E_F) in states/eV per atom: 0.79
VASP energy in eV per atom: -3.65

Structure (POSCAR):
```
BaGaSb2Pb
1.0
-4.3171 1.2440 -2.8209
-1.4429 -5.1048 -0.0430
-2.9921 0.8042 4.9337
Pb Sb Ba Ga
1 2 1 1
Cartesian
-4.3761 -1.5283 1.0349
-0.7215 -2.5524 -0.0215
-2.1586 0.6220 -1.4105
-1.4960 0.4021 2.4668
0.0000 0.0000 0.0000
```

Entry 3:
First-principles (GGA-PBEsol) data for a geometry-optimized MgTc2Os structure, as listed in the Alexandria database.

Computed properties:
N(E_F) in states/eV per atom: 0.98
ΔH_f (0 K) in eV per atom: 0.21
VASP energy in eV per atom: -8.91

Structure (POSCAR):
```
MgTc2Os
1.0
2.7590 0.0000 0.0000
0.0000 2.7590 0.0000
0.0000 0.0000 7.7961
Mg Os Tc
1 1 2
Cartesian
0.0000 0.0000 3.9510
1.3795 1.3795 5.9936
0.0000 0.0000 7.7333
1.3795 1.3795 1.8123
```

Entry 4:
First-principles (GGA-PBEsol) data for a geometry-optimized ZrZn2GeIr structure, as listed in the Alexandria database.

Computed properties:
N(E_F) in states/eV per atom: 1.46
ΔH_f (0 K) in eV per atom: 1.72
VASP energy in eV per atom: -3.68

Structure (POSCAR):
```
ZrZn2GeIr
1.0
4.8094 0.0000 0.0000
0.0000 4.8094 0.0000
0.0000 0.0000 4.9110
Ge Ir Zn Zr
1 1 2 1
Cartesian
0.0000 0.0000 2.4555
2.4047 2.4047 2.4555
0.0000 2.4047 0.0000
2.4047 0.0000 0.0000
0.0000 0.0000 0.0000
```

Entry 5:
First-principles (GGA-PBEsol) data for a geometry-optimized NaSn2Au2 structure, as listed in the Alexandria database.

Computed properties:
N(E_F) in states/eV per atom: 0.29
ΔH_f (0 K) in eV per atom: -0.20
Distance to the lowest polymorph of the same formula in meV/atom: 0
VASP energy in eV per atom: -3.75

Structure (POSCAR):
```
NaSn2Au2
1.0
-3.4149 -1.2571 0.4611
2.6035 -5.2020 5.0987
-1.0935 5.0741 5.7353
Na Au Sn
2 4 4
Cartesian
0.0000 0.0000 0.0000
0.7550 -0.0640 5.4170
0.0057 2.4902 6.8311
1.5607 -1.2863 8.0517
1.5043 -2.6182 4.0028
-0.0507 1.1584 2.7822
-2.0029 1.8872 4.9014
-0.8839 0.1342 8.4092
0.0980 -3.2722 6.3937
-1.0210 -1.5192 2.8858
```

Entry 6:
First-principles (GGA-PBEsol) data for a geometry-optimized K2H4Pt structure, as listed in the Alexandria database.

Computed properties:
N(E_F) in states/eV per atom: 0.00
VASP energy in eV per atom: -3.60

Structure (POSCAR):
```
K2H4Pt
1.0
-2.5392 -4.7634 0.9859
1.5878 0.2396 5.2470
-6.6292 3.9121 1.8274
H K Pt
8 4 2
Cartesian
-0.2027 -0.9639 1.3281
-0.7487 -3.5599 4.9049
-1.3843 0.8169 0.3816
-2.4060 -1.1228 3.6486
-4.6697 -1.3719 3.1222
-2.9110 0.7602 4.9381
-5.1747 0.5111 4.4118
-5.2448 3.0951 1.4458
-2.9269 -1.4037 0.9498
-0.8634 1.0978 3.0804
-6.2415 0.5524 1.8635
-4.1780 3.0539 3.9941
0.0000 0.0000 0.0000
-3.7903 -0.3059 4.0302
```

Question: N(E_F) of number 2 (BaGaSb2Pb)?
Answer: 0.79 states/eV per atom

Question: What is the VASP energy in the fourth record?
Answer: -3.68 eV per atom

Question: Which formula does entry 6 have?
Answer: K2H4Pt

Question: What is the formula in the second record?
Answer: BaGaSb2Pb